Record 1
{
  "formula": "BaMg6Cr",
  "functional": "PBE",
  "state": "optimized geometry",
  "dos_at_fermi_per_ev_cell": 5.5,
  "magnetic_moment_mub_per_cell": 4.641,
  "formation_energy_ev_per_fu": 2.0,
  "lattice_angstrom": [[3.216, -6.767, 0.000], [3.216, 6.767, 0.000], [0.000, 0.000, 5.041]],
  "species": ["Mg", "Mg", "Mg", "Mg", "Mg", "Mg", "Ba", "Cr"],
  "frac_coords": [[0.805, 0.195, 0.500], [0.814, 0.693, 0.500], [0.307, 0.186, 0.500], [0.690, 0.828, 0.000], [0.623, 0.377, 0.000], [0.172, 0.310, 0.000], [0.208, 0.792, 0.000], [0.381, 0.619, 0.500]]
}

***

Record 2
{
  "formula": "Li2AcIn2",
  "functional": "PBE",
  "state": "optimized geometry",
  "dos_at_fermi_per_ev_cell": 9.9,
  "magnetic_moment_mub_per_cell": 0.000,
  "formation_energy_ev_per_fu": -1.5,
  "lattice_angstrom": [[-0.543, -4.514, 1.503], [4.669, -0.215, 1.041], [-4.179, 6.031, 8.973]],
  "species": ["In", "In", "In", "In", "Li", "Li", "Li", "Li", "Ac", "Ac"],
  "frac_coords": [[0.811, 0.811, 0.622], [0.000, 0.500, 0.000], [0.500, 0.000, 0.000], [0.189, 0.189, 0.378], [0.250, 0.750, 0.500], [0.067, 0.067, 0.134], [0.750, 0.250, 0.500], [0.933, 0.933, 0.866], [0.373, 0.373, 0.746], [0.627, 0.627, 0.254]]
}